Version A
Below is Re2SiSe after structural relaxation, with properties calculated at the PBE-GGA level.

## Properties
Magnetization ... 0.0 μB/f.u.
SG ... No. 122

a = 6.628 Å, b = 6.628 Å, c = 6.628 Å
α = 130.20°, β = 130.20°, γ = 73.09°
Atoms (fractional coordinates):
Re 0.120 0.625 0.995
Re 0.375 0.370 0.495
Re 0.630 0.125 0.005
Re 0.875 0.880 0.505
Si 0.000 0.000 0.000
Si 0.750 0.250 0.500
Se 0.250 0.750 0.500
Se 0.500 0.500 0.000

=====

Version B
Below is Re2SiSe after structural relaxation, with properties calculated at the PBE-GGA level.

## Properties
Magnetization ... 0.0 μB/f.u.
SG ... No. 8

a = 4.527 Å, b = 4.527 Å, c = 4.958 Å
α = 106.25°, β = 106.25°, γ = 39.61°
Atoms (fractional coordinates):
Re 0.000 0.000 0.000
Re 0.237 0.237 0.605
Si 0.516 0.516 0.612
Se 0.749 0.749 0.200

=====

Version C
Below is Re2SiSe after structural relaxation, with properties calculated at the PBE-GGA level.

## Properties
Magnetization ... 0.0 μB/f.u.
SG ... No. 216

a = 4.438 Å, b = 4.438 Å, c = 4.438 Å
α = 60.00°, β = 60.00°, γ = 60.00°
Atoms (fractional coordinates):
Re 0.000 0.000 0.000
Re 0.250 0.250 0.250
Si 0.500 0.500 0.500
Se 0.750 0.750 0.750

=====

Version D
Below is Re2SiSe after structural relaxation, with properties calculated at the PBE-GGA level.

## Properties
Magnetization ... 0.0 μB/f.u.
SG ... No. 65

a = 2.843 Å, b = 2.843 Å, c = 8.461 Å
α = 90.00°, β = 90.00°, γ = 115.93°
Atoms (fractional coordinates):
Re 0.000 0.000 0.225
Re 0.000 0.000 0.775
Si 0.500 0.500 0.000
Se 0.500 0.500 0.500

=====

Most stable structure - version B; separation to the second - 391 meV per atom.

=====

Version A
Below is Re2SiSe after structural relaxation, with properties calculated at the PBE-GGA level.

## Properties
Magnetization ... 0.0 μB/f.u.
SG ... No. 35

a = 2.796 Å, b = 2.796 Å, c = 9.656 Å
α = 90.00°, β = 90.00°, γ = 117.08°
Atoms (fractional coordinates):
Re 0.000 0.000 0.000
Re 0.500 0.500 0.230
Si 0.000 0.000 0.449
Se 0.500 0.500 0.776

=====

Version B
Below is Re2SiSe after structural relaxation, with properties calculated at the PBE-GGA level.

## Properties
Magnetization ... 0.0 μB/f.u.
SG ... No. 123

a = 3.045 Å, b = 3.045 Å, c = 6.201 Å
α = 90.00°, β = 90.00°, γ = 90.00°
Atoms (fractional coordinates):
Re 0.000 0.000 0.230
Re 0.000 0.000 0.770
Si 0.500 0.500 0.000
Se 0.500 0.500 0.500

=====

Version C
Below is Re2SiSe after structural relaxation, with properties calculated at the PBE-GGA level.

## Properties
Magnetization ... 0.0 μB/f.u.
SG ... No. 12

a = 4.407 Å, b = 4.407 Å, c = 5.031 Å
α = 102.55°, β = 102.55°, γ = 38.66°
Atoms (fractional coordinates):
Re 0.234 0.234 0.244
Re 0.766 0.766 0.756
Si 0.500 0.500 0.000
Se 0.000 0.000 0.500

=====

Version D
Below is Re2SiSe after structural relaxation, with properties calculated at the PBE-GGA level.

## Properties
Magnetization ... 0.0 μB/f.u.
SG ... No. 166

a = 8.227 Å, b = 8.227 Å, c = 8.227 Å
α = 20.43°, β = 20.43°, γ = 20.43°
Atoms (fractional coordinates):
Re 0.247 0.247 0.247
Re 0.753 0.753 0.753
Si 0.500 0.500 0.500
Se 0.000 0.000 0.000

=====

Most stable structure - version B; separation to the second - 94 meV per atom.

=====

Version A
Below is ReSiSe3 after structural relaxation, with properties calculated at the PBE-GGA level.

## Properties
Magnetization ... 0.7 μB/f.u.
SG ... No. 221

a = 4.633 Å, b = 4.633 Å, c = 4.633 Å
α = 90.00°, β = 90.00°, γ = 90.00°
Atoms (fractional coordinates):
Re 0.000 0.000 0.000
Si 0.500 0.500 0.500
Se 0.000 0.500 0.500
Se 0.500 0.000 0.500
Se 0.500 0.500 0.000

=====

Version B
Below is ReSiSe3 after structural relaxation, with properties calculated at the PBE-GGA level.

## Properties
Magnetization ... 0.9 μB/f.u.
SG ... No. 221

a = 4.890 Å, b = 4.890 Å, c = 4.890 Å
α = 90.00°, β = 90.00°, γ = 90.00°
Atoms (fractional coordinates):
Re 0.000 0.000 0.000
Si 0.500 0.500 0.500
Se 0.000 0.000 0.500
Se 0.000 0.500 0.000
Se 0.500 0.000 0.000

=====

Most stable structure - version B; separation to the second - 475 meV per atom.

=====

Version A
Below is Re2SnSe after structural relaxation, with properties calculated at the PBE-GGA level.

## Properties
Magnetization ... 0.0 μB/f.u.
SG ... No. 225

a = 4.543 Å, b = 4.543 Å, c = 4.543 Å
α = 60.00°, β = 60.00°, γ = 60.00°
Atoms (fractional coordinates):
Re 0.250 0.250 0.250
Re 0.750 0.750 0.750
Sn 0.000 0.000 0.000
Se 0.500 0.500 0.500

=====

Version B
Below is Re2SnSe after structural relaxation, with properties calculated at the PBE-GGA level.

## Properties
Magnetization ... 1.0 μB/f.u.
SG ... No. 122

a = 6.772 Å, b = 6.772 Å, c = 6.772 Å
α = 126.88°, β = 126.88°, γ = 78.44°
Atoms (fractional coordinates):
Re 0.087 0.625 0.962
Re 0.375 0.337 0.462
Re 0.663 0.125 0.038
Re 0.875 0.913 0.538
Sn 0.250 0.750 0.500
Sn 0.500 0.500 0.000
Se 0.000 0.000 0.000
Se 0.750 0.250 0.500

=====

Most stable structure - version A; separation to the second - 582 meV per atom.